Version 1
Entry from the Alexandria database: an optimized crystal structure of Fe3CuMo (GGA-PBE). Values from VASP.

Mass density = 6.25 g/cm³

Quantum ESPRESSO input file:
```
&SYSTEM
  ibrav = 0, nat = 5, ntyp = 3
/
ATOMIC_SPECIES
Fe 55.84 Fe.upf
Cu 63.55 Cu.upf
Mo 95.94 Mo.upf
CELL_PARAMETERS angstrom
4.429 0.000 0.000
0.000 4.429 0.000
0.000 0.000 4.429
ATOMIC_POSITIONS angstrom
Fe 0.000 0.000 2.215
Fe 0.000 2.215 0.000
Fe 2.215 0.000 0.000
Cu 2.215 2.215 2.215
Mo 0.000 0.000 0.000
```


Version 2
Entry from the Alexandria database: an optimized crystal structure of Fe3CuMo (GGA-PBE). Values from VASP.

Mass density = 7.67 g/cm³

Quantum ESPRESSO input file:
```
&SYSTEM
  ibrav = 0, nat = 5, ntyp = 3
/
ATOMIC_SPECIES
Fe 55.84 Fe.upf
Cu 63.55 Cu.upf
Mo 95.94 Mo.upf
CELL_PARAMETERS angstrom
4.137 0.000 0.000
0.000 4.137 0.000
0.000 0.000 4.137
ATOMIC_POSITIONS angstrom
Fe 0.000 0.000 2.068
Fe 0.000 2.068 0.000
Fe 2.068 0.000 0.000
Cu 0.000 0.000 0.000
Mo 2.068 2.068 2.068
```


Ranking the structures above by energy, version 1 is first and the second is 96 meV/atom behind.